The following is a DFT calculation (PBE) of a geometry-optimized Pm3Cd5O12 structure.

Values from the calculation:
- Raw formation energy: -1558.1 meV per atom

abc: 13.432 13.432 13.432
angles: 90.00 90.00 90.00
Space group Ia-3d (No. 230)
Asymmetric unit:
Pm: 0.000 0.250 0.125 x24
Cd: 0.000 0.000 0.000 x16
Cd: 0.000 0.250 0.375 x24
O: 0.016 0.067 0.653 x96



The following is a DFT calculation (PBE) of a geometry-optimized PmCd3O4 structure.

Values from the calculation:
- Raw formation energy: -1581.1 meV per atom

abc: 3.698 8.282 8.883
angles: 90.00 90.00 90.00
Space group Amm2 (No. 38)
Asymmetric unit:
Pm: 0.000 0.000 0.000 x2
Cd: 0.000 0.000 0.389 x2
Cd: 0.500 0.211 0.685 x4
O: 0.000 0.219 0.540 x4
O: 0.500 0.000 0.202 x2
O: 0.500 0.000 0.843 x2



| no. | mass density (g/cm³) |
| --- | --- |
| 1 | 6.52 |
| 2 | 6.67 |